Below is a relaxed structure of PrTmHgPb, with properties calculated at the PBE-GGA level.

As for the raw total energy: -3.78 eV/atom. The calculation puts the theoretical density at 10.7 g/cm3.

Unit cell a=3.8392 b=3.8392 c=7.5792 alpha=90.00 beta=90.00 gamma=90.00
Space group P4mm (No. 99)
Asymmetric unit:
Pr 0.0000 0.0000 0.0000 (multiplicity 1)
Tm 0.0000 0.0000 0.5193 (multiplicity 1)
Hg 0.5000 0.5000 0.7336 (multiplicity 1)
Pb 0.5000 0.5000 0.2734 (multiplicity 1)